1.
A plane-wave DFT calculation with PBE was carried out for an optimized crystal structure of PrLuCuAu.

Values from the calculation:
ΔH_f (0 K) in eV per atom: -0.479
Fermi-level density of states in states/eV/cell: 3.88

Unit cell a=5.078 b=5.078 c=5.078 alpha=60.00 beta=60.00 gamma=60.00
Atoms (fractional coordinates):
Pr1 0.500 0.500 0.500
Lu1 0.000 0.000 0.000
Au1 0.250 0.250 0.250
Cu1 0.750 0.750 0.750

---

2.
A plane-wave DFT calculation with PBE was carried out for an optimized crystal structure of LuCuPtAu.

Values from the calculation:
ΔH_f (0 K) in eV per atom: -0.661
Fermi-level density of states in states/eV/cell: 1.07

Unit cell a=4.654 b=4.654 c=4.654 alpha=60.00 beta=60.00 gamma=60.00
Atoms (fractional coordinates):
Lu1 0.000 0.000 0.000
Au1 0.250 0.250 0.250
Cu1 0.500 0.500 0.500
Pt1 0.750 0.750 0.750